(1)
Entry from the Alexandria database: TbNd12Tl6 after structural relaxation (GGA-PBE).

Output
Calculated formation energy, kJ/mol of formula units: -301
Density of states at the Fermi level, states/eV/f.u.: 18.75

a = 8.4360 Å, b = 8.4360 Å, c = 8.4360 Å
α = 88.82°, β = 88.82°, γ = 88.82°
Closest atoms and distances in Å follow each position.
Sites, in units of the cell vectors:
Tb (0.0000, 0.0000, 0.0000)  6 Tl 3.31, 6 Nd 3.50
Nd (0.0803, 0.3846, 0.1202)  3 Nd 3.10-3.38, 1 Tl 3.32
Nd (0.1202, 0.0803, 0.3846)  3 Nd 3.10-3.38, 1 Tl 3.32
Nd (0.1921, 0.5642, 0.4702)  4 Tl 3.32-3.50, 4 Nd 3.46-3.55
Nd (0.3846, 0.1202, 0.0803)  3 Nd 3.10-3.38, 1 Tl 3.32
Nd (0.4358, 0.5298, 0.8079)  4 Tl 3.32-3.50, 4 Nd 3.46-3.55
Nd (0.4702, 0.1921, 0.5642)  4 Tl 3.32-3.50, 4 Nd 3.46-3.55
Nd (0.5298, 0.8079, 0.4358)  4 Tl 3.32-3.50, 4 Nd 3.46-3.55
Nd (0.5642, 0.4702, 0.1921)  4 Tl 3.32-3.50, 4 Nd 3.46-3.55
Nd (0.6154, 0.8798, 0.9197)  3 Nd 3.10-3.38, 1 Tl 3.32
Nd (0.8079, 0.4358, 0.5298)  4 Tl 3.32-3.50, 4 Nd 3.46-3.55
Nd (0.8798, 0.9197, 0.6154)  3 Nd 3.10-3.38, 1 Tl 3.32
Nd (0.9197, 0.6154, 0.8798)  3 Nd 3.10-3.38, 1 Tl 3.32
Tl (0.1260, 0.2763, 0.7452)  1 Tb 3.31, 7 Nd 3.32-3.51, 2 Tl 3.55
Tl (0.2548, 0.8740, 0.7237)  1 Tb 3.31, 7 Nd 3.32-3.51, 2 Tl 3.55
Tl (0.2763, 0.7452, 0.1260)  1 Tb 3.31, 7 Nd 3.32-3.51, 2 Tl 3.55
Tl (0.7237, 0.2548, 0.8740)  1 Tb 3.31, 7 Nd 3.32-3.51, 2 Tl 3.55
Tl (0.7452, 0.1260, 0.2763)  1 Tb 3.31, 7 Nd 3.32-3.51, 2 Tl 3.55
Tl (0.8740, 0.7237, 0.2548)  1 Tb 3.31, 7 Nd 3.32-3.51, 2 Tl 3.55

(2)
Entry from the Alexandria database: Tb3Nd2Tl3 after structural relaxation (GGA-PBE).

Output
Calculated formation energy, kJ/mol of formula units: -197
Density of states at the Fermi level, states/eV/f.u.: 7.67

a = 10.9120 Å, b = 10.9120 Å, c = 10.9120 Å
α = 156.11°, β = 153.63°, γ = 35.88°
Closest atoms and distances in Å follow each position.
Sites, in units of the cell vectors:
Tb (0.0000, 0.0000, 0.0000)  8 Tl 3.36-3.42, 4 Tb 3.48
Tb (0.3830, 0.8830, 0.5000)  6 Tl 3.32-3.36, 2 Tb 3.48, 2 Nd 3.55
Tb (0.6170, 0.1170, 0.5000)  6 Tl 3.32-3.36, 2 Tb 3.48, 2 Nd 3.55
Nd (0.2391, 0.2391, 0.0000)  2 Tl 3.29, 4 Nd 3.39, 2 Tb 3.55
Nd (0.7609, 0.7609, 0.0000)  2 Tl 3.29, 4 Nd 3.39, 2 Tb 3.55
Tl (0.1238, 0.6238, 0.5000)  2 Nd 3.29, 6 Tb 3.36-3.42, 2 Tl 3.58
Tl (0.5000, 0.5000, 0.0000)  8 Tb 3.32-3.36, 4 Tl 3.58
Tl (0.8762, 0.3762, 0.5000)  2 Nd 3.29, 6 Tb 3.36-3.42, 2 Tl 3.58

(3)
Entry from the Alexandria database: TbNd3Tl3 after structural relaxation (GGA-PBE).

Output
Calculated formation energy, kJ/mol of formula units: -138
Density of states at the Fermi level, states/eV/f.u.: 8.34

a = 6.8748 Å, b = 6.8748 Å, c = 9.7720 Å
α = 90.91°, β = 90.91°, γ = 104.77°
Closest atoms and distances in Å follow each position.
Sites, in units of the cell vectors:
Tb (0.2218, 0.2218, 0.4563)  4 Tl 3.17-3.34, 4 Nd 3.43-3.52
Tb (0.7782, 0.7782, 0.5437)  4 Tl 3.17-3.34, 4 Nd 3.43-3.52
Nd (0.0883, 0.0883, 0.8168)  5 Tl 3.31-3.60, 1 Tb 3.68
Nd (0.2605, 0.7395, 0.5000)  6 Tl 3.31-3.47, 4 Tb 3.43-3.52
Nd (0.3200, 0.6800, 0.0000)  6 Tl 3.21-3.28
Nd (0.6800, 0.3200, 0.0000)  6 Tl 3.21-3.28
Nd (0.7395, 0.2605, 0.5000)  6 Tl 3.31-3.47, 4 Tb 3.43-3.52
Nd (0.9117, 0.9117, 0.1832)  5 Tl 3.31-3.60, 1 Tb 3.68
Tl (0.0198, 0.4485, 0.2369)  1 Tb 3.17, 5 Nd 3.21-3.49, 1 Tl 3.43
Tl (0.4485, 0.0198, 0.2369)  1 Tb 3.17, 5 Nd 3.21-3.49, 1 Tl 3.43
Tl (0.4669, 0.4669, 0.7314)  2 Tb 3.23-3.34, 5 Nd 3.28-3.47, 4 Tl 3.43-3.56
Tl (0.5331, 0.5331, 0.2686)  2 Tb 3.23-3.34, 5 Nd 3.28-3.47, 4 Tl 3.43-3.56
Tl (0.5515, 0.9802, 0.7631)  1 Tb 3.17, 5 Nd 3.21-3.49, 1 Tl 3.43
Tl (0.9802, 0.5515, 0.7631)  1 Tb 3.17, 5 Nd 3.21-3.49, 1 Tl 3.43

(4)
Entry from the Alexandria database: Tb6Nd5Tl after structural relaxation (GGA-PBE).

Output
Calculated formation energy, kJ/mol of formula units: -33
Density of states at the Fermi level, states/eV/f.u.: 15.56

a = 9.4799 Å, b = 9.4799 Å, c = 9.4799 Å
α = 149.20°, β = 115.28°, γ = 73.38°
Closest atoms and distances in Å follow each position.
Sites, in units of the cell vectors:
Tb (0.0808, 0.3354, 0.7454)  1 Tl 3.53, 7 Nd 3.54-3.62, 4 Tb 3.55-3.62
Tb (0.2445, 0.0000, 0.2445)  2 Tl 3.53, 4 Tb 3.55, 6 Nd 3.56-3.61
Tb (0.4100, 0.6646, 0.7454)  1 Tl 3.53, 7 Nd 3.54-3.62, 4 Tb 3.55-3.62
Tb (0.5900, 0.3354, 0.2546)  1 Tl 3.53, 7 Nd 3.54-3.62, 4 Tb 3.55-3.62
Tb (0.7555, 0.0000, 0.7555)  2 Tl 3.53, 4 Tb 3.55, 6 Nd 3.56-3.61
Tb (0.9192, 0.6646, 0.2546)  1 Tl 3.53, 7 Nd 3.54-3.62, 4 Tb 3.55-3.62
Nd (0.1683, 0.1683, 0.0000)  8 Tb 3.54-3.62, 2 Tl 3.59, 2 Nd 3.59
Nd (0.3367, 0.8367, 0.5000)  4 Nd 3.54-3.59, 8 Tb 3.59-3.61
Nd (0.5000, 0.5000, 0.0000)  4 Nd 3.54, 8 Tb 3.60-3.61
Nd (0.6633, 0.1633, 0.5000)  4 Nd 3.54-3.59, 8 Tb 3.59-3.61
Nd (0.8317, 0.8317, 0.0000)  8 Tb 3.54-3.62, 2 Tl 3.59, 2 Nd 3.59
Tl (0.0000, 0.5000, 0.5000)  8 Tb 3.53, 4 Nd 3.59